(i)
Entry from Alexandria via LeMat-Bulk: crystalline Tb2Dy5Er at its relaxed geometry (PBE).

Symmetry: No. 55

a b c (Å): 7.074 14.148 4.994
angles (deg): 90.00 90.00 90.00
Positions (direct):
Tb 0.250 0.125 0.000
Tb 0.250 0.625 0.000
Tb 0.750 0.375 0.000
Tb 0.750 0.875 0.000
Dy 0.000 0.000 0.500
Dy 0.001 0.250 0.500
Dy 0.250 0.375 0.000
Dy 0.250 0.875 0.000
Dy 0.499 0.750 0.500
Dy 0.500 0.500 0.500
Dy 0.501 0.250 0.500
Dy 0.750 0.125 0.000
Dy 0.750 0.625 0.000
Dy 0.999 0.750 0.500
Er 0.000 0.500 0.500
Er 0.500 0.000 0.500

---

(ii)
Entry from Alexandria via LeMat-Bulk: crystalline Tb2Dy5Er at its relaxed geometry (PBE).

Symmetry: No. 15

a b c (Å): 8.771 8.771 9.476
angles (deg): 91.72 91.72 135.81
Positions (direct):
Tb 0.126 0.236 0.426
Tb 0.236 0.126 0.926
Tb 0.764 0.874 0.074
Tb 0.874 0.764 0.574
Dy 0.159 0.841 0.250
Dy 0.195 0.446 0.113
Dy 0.201 0.690 0.590
Dy 0.310 0.799 0.910
Dy 0.446 0.195 0.613
Dy 0.554 0.805 0.387
Dy 0.690 0.201 0.090
Dy 0.799 0.310 0.410
Dy 0.805 0.554 0.887
Dy 0.841 0.159 0.750
Er 0.439 0.561 0.750
Er 0.561 0.439 0.250

---

Name the most stable of them. (i).

---

(i)
Entry from Alexandria via LeMat-Bulk: crystalline Tb6Dy2Er at its relaxed geometry (PBE).

Symmetry: No. 2

a b c (Å): 3.545 8.673 9.371
angles (deg): 90.01 100.86 90.06
Positions (direct):
Tb 0.111 0.167 0.222
Tb 0.222 0.833 0.444
Tb 0.334 0.500 0.668
Tb 0.666 0.500 0.332
Tb 0.778 0.167 0.556
Tb 0.889 0.833 0.778
Dy 0.445 0.167 0.890
Dy 0.555 0.833 0.110
Er 0.000 0.500 0.000

---

(ii)
Entry from Alexandria via LeMat-Bulk: crystalline Tb6Dy2Er at its relaxed geometry (PBE).

Symmetry: No. 15

a b c (Å): 9.533 9.533 6.551
angles (deg): 99.58 99.58 96.26
Positions (direct):
Tb 0.038 0.440 0.725
Tb 0.149 0.779 0.996
Tb 0.221 0.851 0.504
Tb 0.278 0.456 0.183
Tb 0.440 0.038 0.225
Tb 0.456 0.278 0.683
Tb 0.544 0.722 0.317
Tb 0.560 0.962 0.775
Tb 0.722 0.544 0.817
Tb 0.779 0.149 0.496
Tb 0.851 0.221 0.004
Tb 0.962 0.560 0.275
Dy 0.119 0.166 0.368
Dy 0.166 0.119 0.868
Dy 0.834 0.881 0.132
Dy 0.881 0.834 0.632
Er 0.381 0.619 0.750
Er 0.619 0.381 0.250

---

Name the most stable of them. (i).

---

(i)
Entry from Alexandria via LeMat-Bulk: crystalline Tb6DyEr4 at its relaxed geometry (PBE).

Symmetry: No. 121

a b c (Å): 9.664 9.664 9.664
angles (deg): 140.60 140.60 56.94
Positions (direct):
Tb 0.000 0.500 0.500
Tb 0.013 0.638 0.000
Tb 0.362 0.362 0.375
Tb 0.500 0.000 0.500
Tb 0.638 0.013 0.000
Tb 0.987 0.987 0.625
Dy 0.000 0.000 0.000
Er 0.190 0.190 0.641
Er 0.451 0.810 0.000
Er 0.549 0.549 0.359
Er 0.810 0.451 0.000

---

(ii)
Entry from Alexandria via LeMat-Bulk: crystalline Tb6DyEr4 at its relaxed geometry (PBE).

Symmetry: No. 63

a b c (Å): 5.562 5.562 25.453
angles (deg): 90.00 90.00 118.56
Positions (direct):
Tb 0.000 0.000 0.000
Tb 0.000 0.000 0.500
Tb 0.032 0.968 0.750
Tb 0.305 0.695 0.103
Tb 0.305 0.695 0.397
Tb 0.365 0.635 0.682
Tb 0.365 0.635 0.818
Tb 0.635 0.365 0.182
Tb 0.635 0.365 0.318
Tb 0.695 0.305 0.603
Tb 0.695 0.305 0.897
Tb 0.968 0.032 0.250
Dy 0.303 0.697 0.250
Dy 0.697 0.303 0.750
Er 0.035 0.965 0.622
Er 0.035 0.965 0.878
Er 0.346 0.654 0.543
Er 0.346 0.654 0.957
Er 0.654 0.346 0.043
Er 0.654 0.346 0.457
Er 0.965 0.035 0.122
Er 0.965 0.035 0.378

---

Name the most stable of them. (ii).

---

(i)
Entry from Alexandria via LeMat-Bulk: crystalline Tb7Dy12Er at its relaxed geometry (PBE).

Symmetry: No. 148

a b c (Å): 10.897 10.897 10.897
angles (deg): 115.94 115.94 115.94
Positions (direct):
Tb 0.000 0.000 0.000
Tb 0.124 0.288 0.429
Tb 0.288 0.429 0.124
Tb 0.429 0.124 0.288
Tb 0.571 0.876 0.712
Tb 0.712 0.571 0.876
Tb 0.876 0.712 0.571
Dy 0.003 0.429 0.216
Dy 0.216 0.003 0.429
Dy 0.231 0.295 0.753
Dy 0.247 0.769 0.705
Dy 0.295 0.753 0.231
Dy 0.429 0.216 0.003
Dy 0.571 0.784 0.997
Dy 0.705 0.247 0.769
Dy 0.753 0.231 0.295
Dy 0.769 0.705 0.247
Dy 0.784 0.997 0.571
Dy 0.997 0.571 0.784
Er 0.500 0.500 0.500

---

(ii)
Entry from Alexandria via LeMat-Bulk: crystalline Tb7Dy12Er at its relaxed geometry (PBE).

Symmetry: No. 148

a b c (Å): 8.650 8.650 8.650
angles (deg): 94.93 94.93 94.93
Positions (direct):
Tb 0.000 0.000 0.000
Tb 0.147 0.415 0.478
Tb 0.415 0.478 0.147
Tb 0.478 0.147 0.415
Tb 0.522 0.853 0.585
Tb 0.585 0.522 0.853
Tb 0.853 0.585 0.522
Dy 0.019 0.083 0.352
Dy 0.083 0.352 0.019
Dy 0.187 0.750 0.315
Dy 0.250 0.685 0.813
Dy 0.315 0.187 0.750
Dy 0.352 0.019 0.083
Dy 0.648 0.981 0.917
Dy 0.685 0.813 0.250
Dy 0.750 0.315 0.187
Dy 0.813 0.250 0.685
Dy 0.917 0.648 0.981
Dy 0.981 0.917 0.648
Er 0.500 0.500 0.500

---

Name the most stable of them. (ii).